{"formula": "NdLuGaPt", "functional": "PBE", "state": "optimized geometry", "lattice": [[-3.439, -0.248, 3.685], [-4.906, -0.286, -1.143], [-2.532, -4.290, 0.804]], "species": ["Lu", "Nd", "Ga", "Pt"], "fractional_positions": [[0.000, 0.000, 0.000], [0.500, 0.500, 0.500], [0.250, 0.250, 0.250], [0.750, 0.750, 0.750]], "formation_enthalpy_0k_mev_per_atom": -807}

***

{"formula": "V3CrNi", "functional": "PBE", "state": "optimized geometry", "lattice": [[4.231, 0.000, 0.000], [0.000, 4.231, 0.000], [0.000, 0.000, 4.231]], "species": ["Ni", "Cr", "V", "V", "V"], "fractional_positions": [[0.500, 0.500, 0.500], [0.000, 0.000, 0.000], [0.000, 0.500, 0.000], [0.000, 0.000, 0.500], [0.500, 0.000, 0.000]], "formation_enthalpy_0k_mev_per_atom": 1018, "polymorph_energy_ev_per_atom": 0.000}

***

{"formula": "CdRe2Au", "functional": "PBE", "state": "optimized geometry", "lattice": [[5.306, 0.022, 0.000], [2.513, 4.673, 0.000], [-3.909, -2.347, 2.712]], "species": ["Re", "Re", "Au", "Cd"], "fractional_positions": [[0.000, 0.000, 0.000], [0.500, 0.500, 0.000], [0.250, 0.750, 0.500], [0.750, 0.250, 0.500]], "formation_enthalpy_0k_mev_per_atom": 714}

***

{"formula": "Rb2Be2CdO4", "functional": "PBE", "state": "optimized geometry", "lattice": [[3.188, 0.000, 0.000], [-1.594, 6.510, 0.029], [0.000, -2.230, 6.100]], "species": ["Rb", "Rb", "Be", "Be", "Cd", "O", "O", "O", "O"], "fractional_positions": [[0.869, 0.739, 0.465], [0.131, 0.261, 0.535], [0.318, 0.637, 0.023], [0.682, 0.363, 0.977], [0.000, 0.000, 0.000], [0.786, 0.572, 0.882], [0.214, 0.428, 0.118], [0.443, 0.886, 0.188], [0.557, 0.114, 0.812]], "raw_formation_energy_ev_per_atom": -1.7410}

***

{"formula": "VSbTe2Se", "functional": "PBE", "state": "optimized geometry", "lattice": [[5.052, 0.000, 0.000], [0.000, 5.052, 0.000], [0.000, 0.000, 5.223]], "species": ["Sb", "Te", "Te", "Se", "V"], "fractional_positions": [[0.000, 0.000, 0.500], [0.000, 0.500, 0.000], [0.500, 0.000, 0.000], [0.500, 0.500, 0.500], [0.000, 0.000, 0.000]], "raw_formation_energy_ev_per_atom": 0.2785, "polymorph_energy_ev_per_atom": 0.000}

***

{"formula": "Sr5LiRh2", "functional": "PBE", "state": "optimized geometry", "lattice": [[-3.989, -2.163, -0.013], [3.382, -6.258, 3.240], [-1.331, 7.182, 5.831]], "species": ["Sr", "Sr", "Sr", "Sr", "Sr", "Li", "Rh", "Rh"], "fractional_positions": [[0.000, 0.500, 0.000], [0.659, 0.406, 0.318], [0.341, 0.594, 0.682], [0.659, 0.912, 0.318], [0.341, 0.088, 0.682], [0.000, 0.000, 0.000], [0.184, 0.684, 0.368], [0.816, 0.316, 0.632]], "formation_enthalpy_0k_mev_per_atom": -118}

***

{"formula": "AcTm3H", "functional": "PBE", "state": "optimized geometry", "lattice": [[-4.885, -1.276, 0.414], [1.177, -4.827, -0.989], [0.644, -0.858, 4.951]], "species": ["H", "Ac", "Tm", "Tm", "Tm"], "fractional_positions": [[0.000, 0.000, 0.000], [0.500, 0.500, 0.500], [0.000, 0.500, 0.000], [0.000, 0.000, 0.500], [0.500, 0.000, 0.000]], "energy_ev_per_atom": -4.275}

***

{"formula": "AcLa2ErTm4", "functional": "PBE", "state": "optimized geometry", "lattice": [[9.453, -0.032, -1.794], [-0.039, 9.453, -1.794], [-5.963, -5.967, 8.459]], "species": ["Ac", "Ac", "La", "La", "La", "La", "Er", "Er", "Tm", "Tm", "Tm", "Tm", "Tm", "Tm", "Tm", "Tm"], "fractional_positions": [[0.000, 0.500, 0.000], [0.000, 0.500, 0.500], [0.500, 0.000, 0.000], [0.500, 0.000, 0.500], [0.000, 0.000, 0.500], [0.500, 0.500, 0.000], [0.500, 0.500, 0.500], [0.000, 0.000, 0.000], [0.255, 0.768, 0.011], [0.732, 0.245, 0.489], [0.268, 0.755, 0.511], [0.745, 0.232, 0.989], [0.740, 0.758, 0.991], [0.742, 0.760, 0.509], [0.258, 0.240, 0.491], [0.260, 0.242, 0.009]], "formation_enthalpy_0k_mev_per_atom": 421}